Entry from Alexandria: an optimized crystal structure of Na3Sn5S12 (GGA-PBE).

Values from the calculation:
- Magnetization: 0.0 μB/f.u.
- Energy relative to the elements, uncorrected: -0.459 eV/atom
- Raw total energy: -661.400 eV/cell

a b c (Å): 15.8488 15.8488 15.8488
angles (deg): 90.00 90.00 90.00
Space group Ia-3d (No. 230)
Asymmetric unit:
Na 0.0000 0.2500 0.1250 [24 per cell]
Sn 0.0000 0.0000 0.0000 [16 per cell]
Sn 0.0000 0.2500 0.3750 [24 per cell]
S 0.0266 0.0617 0.6490 [96 per cell]



Entry from Alexandria: an optimized crystal structure of Na3SnS3 (GGA-PBE).

Values from the calculation:
- Magnetization: 0.0 μB/f.u.
- Energy relative to the elements, uncorrected: -0.780 eV/atom
- Raw total energy: -103.208 eV/cell

a b c (Å): 7.9969 12.5578 7.2390
angles (deg): 90.00 94.04 90.00
Space group C2/m (No. 12)
Asymmetric unit:
Na 0.0000 0.1765 0.0000 [4 per cell]
Na 0.0000 0.2432 0.5000 [4 per cell]
Na 0.1202 0.5000 0.8682 [4 per cell]
Sn 0.2151 0.0000 0.6200 [4 per cell]
S 0.0699 0.0000 0.2463 [4 per cell]
S 0.1536 0.3450 0.2160 [8 per cell]



Entry from Alexandria: an optimized crystal structure of NaSn2S3 (GGA-PBE).

Values from the calculation:
- Magnetization: 0.0 μB/f.u.
- Energy above the most stable polymorph in this dataset: 3.4 meV/atom
- Energy relative to the elements, uncorrected: -0.619 eV/atom
- Raw total energy: -101.692 eV/cell

a b c (Å): 8.3066 5.6008 12.0631
angles (deg): 90.00 90.00 90.00
Space group Pnma (No. 62)
Asymmetric unit:
Na 0.1224 0.2500 0.0822 [4 per cell]
Sn 0.1398 0.2500 0.4152 [4 per cell]
Sn 0.1413 0.2500 0.7403 [4 per cell]
S 0.1121 0.7500 0.4099 [4 per cell]
S 0.1306 0.7500 0.7558 [4 per cell]
S 0.1501 0.7500 0.0780 [4 per cell]



Entry from Alexandria: an optimized crystal structure of Na2Sn3S8 (GGA-PBE).

Values from the calculation:
- Magnetization: 1.8 μB/f.u.
- Energy relative to the elements, uncorrected: -0.400 eV/atom
- Raw total energy: -105.729 eV/cell

a b c (Å): 14.8932 7.2795 6.6152
angles (deg): 90.00 109.60 90.00
Space group C2/m (No. 12)
Asymmetric unit:
Na 0.2302 0.0000 0.1807 [4 per cell]
Sn 0.0000 0.2463 0.5000 [4 per cell]
Sn 0.0000 0.5000 0.0000 [2 per cell]
S 0.1025 0.0000 0.4234 [4 per cell]
S 0.1042 0.5000 0.4050 [4 per cell]
S 0.1119 0.2833 0.8974 [8 per cell]